The following is a GGA-PBE calculation of a geometry-optimized EuAsPd structure, from the Alexandria database.

Values from the calculation:
- E_form (eV/atom) = -1.0211
- total DFT energy (no corrections) (eV/atom) = -7.73
- total magnetic moment (μB/f.u.) = 6.6

```
EuAsPd
1.0
4.329 0.000 0.000
-2.165 3.749 0.000
0.000 0.000 16.656
Eu As Pd
4 4 4
Direct
0.000 0.000 0.000 Eu
0.000 0.000 0.250 Eu
0.000 0.000 0.500 Eu
0.000 0.000 0.750 Eu
0.333 0.667 0.124 As
0.333 0.667 0.376 As
0.667 0.333 0.624 As
0.667 0.333 0.876 As
0.333 0.667 0.626 Pd
0.333 0.667 0.874 Pd
0.667 0.333 0.126 Pd
0.667 0.333 0.374 Pd
```